No. 1
Here is a geometry-optimized ScP2ClF structure from the Alexandria database. Energies are from GGA-PBE.

Computed properties:
Energy relative to the lowest polymorph listed for this composition: 0 meV/atom
Energy relative to the elements, uncorrected: -334 meV per atom
Energy: -4.508 eV per atom
Space group: No. 123

Cell: 4.080 4.080 5.192 Å, 90.00 90.00 90.00°
Fractional coordinates of all 5 atoms:
Sc  0.000  0.000  0.000
P  0.000  0.500  0.500
P  0.500  0.000  0.500
Cl  0.500  0.500  0.000
F  0.500  0.500  0.500

No. 2
Here is a geometry-optimized RbLiTeF6 structure from the Alexandria database. Energies are from GGA-PBE.

Computed properties:
Energy relative to the elements, uncorrected: -2494 meV per atom
Energy: -4.411 eV per atom
Space group: No. 1

Cell: 5.609 5.617 6.112 Å, 89.96 89.93 60.05°
Fractional coordinates of all 9 atoms:
Rb  0.000  0.000  0.000
Li  0.334  0.333  0.500
Te  0.667  0.667  0.500
F  0.380  0.619  0.689
F  0.383  0.998  0.309
F  0.619  0.000  0.690
F  0.620  0.383  0.310
F  0.999  0.381  0.689
F  0.999  0.619  0.310

No. 3
Here is a geometry-optimized TbDyCl structure from the Alexandria database. Energies are from GGA-PBE.

Computed properties:
Energy relative to the lowest polymorph listed for this composition: 44 meV/atom
Energy relative to the elements, uncorrected: -900 meV per atom
Energy: -4.593 eV per atom
Space group: No. 156

Cell: 3.678 3.678 6.992 Å, 90.00 90.00 120.00°
Fractional coordinates of all 3 atoms:
Tb  0.000  0.000  0.000
Dy  0.333  0.667  0.619
Cl  0.667  0.333  0.311

No. 4
Here is a geometry-optimized PrErNi2H8 structure from the Alexandria database. Energies are from GGA-PBE.

Computed properties:
Energy: -4.274 eV per atom
Space group: No. 166

Cell: 6.931 6.931 6.931 Å, 37.42 37.42 37.42°
Fractional coordinates of all 12 atoms:
Pr  0.000  0.000  0.000
Er  0.500  0.500  0.500
Ni  0.253  0.253  0.253
Ni  0.747  0.747  0.747
H  0.036  0.036  0.592
H  0.036  0.592  0.036
H  0.336  0.336  0.336
H  0.408  0.964  0.964
H  0.592  0.036  0.036
H  0.664  0.664  0.664
H  0.964  0.408  0.964
H  0.964  0.964  0.408

In the order shown, the computed ρ values come out to 3.1 3.3 7.2 6.5 g/cm3.